(1)
## TlAgRh2F8 (PBE)

Data for an optimized crystal structure of TlAgRh2F8.

Summary:
As for the energy relative to the elements, uncorrected: -1361 kJ/mol of formula units. Its space group is P-3.

Cell: 6.1609 6.1609 6.2524 Å, 90.00 90.00 120.00°
With the nearest neighbours (Å) after each atom.
Fractional positions:
Tl (0.0000, 0.0000, 0.0000)  2 Ag 3.13, 6 F 3.18
Ag (0.0000, 0.0000, 0.5000)  6 F 2.39
Rh (0.3333, 0.6667, 0.4541)  4 F 2.02-2.08
Rh (0.6667, 0.3333, 0.5459)  4 F 2.02-2.08
F (0.0525, 0.3851, 0.6374)  2 Rh 2.08-2.31
F (0.3333, 0.6667, 0.1310)  1 Rh 2.02
F (0.3327, 0.9475, 0.6374)  2 Rh 2.08-2.31
F (0.3851, 0.3327, 0.3626)  2 Rh 2.08-2.31
F (0.6149, 0.6673, 0.6374)  2 Rh 2.08-2.31
F (0.6673, 0.0525, 0.3626)  2 Rh 2.08-2.31
F (0.6667, 0.3333, 0.8690)  1 Rh 2.02
F (0.9475, 0.6149, 0.3626)  2 Rh 2.08-2.31

(2)
## TmAgRhF6 (PBE)

Data for an optimized crystal structure of TmAgRhF6.

Summary:
As for the energy relative to the elements, uncorrected: -2028 kJ/mol of formula units. Its space group is P-31c.

Cell: 5.6970 5.6970 10.4429 Å, 90.00 90.00 120.00°
With the nearest neighbours (Å) after each atom.
Fractional positions:
Tm (0.3333, 0.6667, 0.2500)  6 F 2.17
Tm (0.6667, 0.3333, 0.7500)  6 F 2.17
Ag (0.0000, 0.0000, 0.0000)  6 F 2.49
Ag (0.0000, 0.0000, 0.5000)  6 F 2.49
Rh (0.3333, 0.6667, 0.7500)  6 F 2.18
Rh (0.6667, 0.3333, 0.2500)  6 F 2.18
F (0.0016, 0.3562, 0.1393)  1 Tm 2.17, 1 Rh 2.18
F (0.0016, 0.6454, 0.3607)  1 Tm 2.17, 1 Rh 2.18
F (0.3546, 0.3562, 0.3607)  1 Tm 2.17, 1 Rh 2.18
F (0.3546, 0.9984, 0.1393)  1 Tm 2.17, 1 Rh 2.18
F (0.3562, 0.0016, 0.6393)  1 Tm 2.17, 1 Rh 2.18
F (0.3562, 0.3546, 0.8607)  1 Tm 2.17, 1 Rh 2.18
F (0.6438, 0.6454, 0.1393)  1 Tm 2.17, 1 Rh 2.18
F (0.6438, 0.9984, 0.3607)  1 Tm 2.17, 1 Rh 2.18
F (0.6454, 0.0016, 0.8607)  1 Tm 2.17, 1 Rh 2.18
F (0.6454, 0.6438, 0.6393)  1 Tm 2.17, 1 Rh 2.18
F (0.9984, 0.3546, 0.6393)  1 Tm 2.17, 1 Rh 2.18
F (0.9984, 0.6438, 0.8607)  1 Tm 2.17, 1 Rh 2.18

- Look up the energy relative to the elements, uncorrected of the first one.
  -1361 kJ/mol of formula units

- What is the formula in the second record?
  TmAgRhF6